# SrPdCl3 | Alexandria via LeMat-Bulk | PBE | optimized geometry
data_SrPdCl3
_cell_length_a 5.615
_cell_length_b 5.615
_cell_length_c 5.615
_cell_angle_alpha 90.00
_cell_angle_beta 90.00
_cell_angle_gamma 90.00
_space_group_name_H-M_alt 'P m -3 m'
_space_group_IT_number 221
_space_group_name_Hall '-P 4 2 3'
loop_
_atom_site_label
_atom_site_type_symbol
_atom_site_fract_x
_atom_site_fract_y
_atom_site_fract_z
_atom_site_occupancy
Sr1 Sr 0.000 0.000 0.000 1
Pd1 Pd 0.500 0.500 0.500 1
Cl1 Cl 0.000 0.000 0.500 1
# **Energy relative to the elements, uncorrected**: -0.88 eV per atom
# **Total DFT energy (no corrections)**: -3.37 eV per atom
# **Size of the total moment**: 1.0 Bohr magnetons per cell
# **Energy above the lowest structure with this stoichiometry**: 0.380 eV per atom